Entry 1:
B5C7, optimized geometry, DFT PBE; crystal system = monoclinic; space group = Cm (8); total DFT energy (no corrections) = -0.286 Ha/atom
1.0
4.4633 0.0595 -5.4922
-0.2201 2.5467 -6.5498
0.0535 -0.0544 7.0305
B C
5 7
Cartesian
4.3441 0.8854 -3.0854
2.1682 0.4455 -1.5585
4.4583 0.0180 1.4511
0.6240 2.0174 -3.5133
4.1799 1.6772 -7.2479
2.7507 0.7721 -3.0501
0.5806 0.3517 -1.6222
2.5618 2.4379 -5.0224
2.1892 2.1260 -3.5344
2.6285 1.6030 -7.4006
2.1276 1.2423 1.0259
0.5702 1.1419 1.0073

***

Entry 2:
CoH, optimized geometry, DFT PBE; crystal system = hexagonal; space group = P6_3mc (186); total DFT energy (no corrections) = -0.188 Ha/atom
1.0
2.7218 0.0000 0.0000
-1.3609 2.3571 0.0000
0.0000 0.0000 4.3565
Co H
2 2
Cartesian
0.0000 1.5714 3.1857
1.3609 0.7857 1.0074
0.0000 1.5714 1.5280
1.3609 0.7857 3.7063

***

Entry 3:
RbMgGa2Ni, optimized geometry, DFT PBE; crystal system = tetragonal; space group = P4/mmm (123); total DFT energy (no corrections) = -0.108 Ha/atom
1.0
-2.6423 2.5680 3.0316
-1.6264 -4.0209 1.9885
3.8474 0.0720 3.2924
Ni Mg Ga Rb
1 1 2 1
Cartesian
0.0000 0.0000 0.0000
1.9237 0.0360 1.6462
-0.8132 -2.0104 0.9943
-1.3211 1.2840 1.5158
-0.2107 -0.6904 4.1562

***

Entry 4:
DyY3P4, optimized geometry, DFT PBE; crystal system = orthorhombic; space group = Cmmm (65); total DFT energy (no corrections) = -0.269 Ha/atom
1.0
-2.2966 -3.2702 0.3697
4.9289 -3.0261 3.8514
-4.3387 3.5147 4.1360
Dy Y P
1 3 4
Cartesian
-1.1483 -1.6351 0.1849
-2.1694 1.7574 2.0680
-0.8532 -1.3908 4.1786
2.4644 -1.5131 1.9257
0.1473 0.1220 1.9937
1.4662 -3.0277 4.1073
0.4429 0.3667 5.9937
-3.1726 0.2462 4.2498

***

Entry 5:
KP2Br8, optimized geometry, DFT PBE; crystal system = monoclinic; space group = C2/m (12); raw formation energy = -0.47 eV per atom
1.0
-3.9616 -2.3321 5.9779
2.6677 -7.6729 -0.7833
6.2774 1.2074 5.0734
K P Br
1 2 8
Cartesian
0.0000 0.0000 0.0000
4.1395 -6.1913 6.8363
0.8440 -2.6063 3.4316
-0.2995 -3.1285 1.5334
4.1455 -8.4674 6.8890
5.8707 -5.7319 5.0726
-0.8873 -3.0657 5.1953
0.8380 -0.3302 3.3789
5.2830 -5.6691 8.7345
1.8406 -5.6709 7.4641
3.1429 -3.1267 2.8038

***

Entry 6:
Li9Zn4Pd11, optimized geometry, DFT PBE; crystal system = orthorhombic; space group = Cmmm (65); total DFT energy (no corrections) = -0.139 Ha/atom
1.0
-1.3237 1.0196 2.4084
-9.6854 0.4689 -5.5216
1.4008 -9.8971 4.9600
Li Zn Pd
9 4 11
Cartesian
-6.4662 -0.7076 -1.4705
-3.1420 -7.7009 3.3172
-1.2680 -5.5681 3.4443
-8.3403 -2.8403 -1.5975
-7.0392 -8.7664 1.6264
-2.5691 0.3579 0.2203
-8.9866 -6.9455 -0.2148
-0.6216 -1.4630 2.0615
-4.8041 -4.2042 0.9234
-5.1185 -6.6321 1.7785
-4.4898 -1.7763 0.0683
-7.1157 -4.7647 -0.1098
-2.4926 -3.6438 1.9565
-4.4403 -9.0838 1.4054
-3.8443 -0.3443 -1.9670
-8.3288 -5.4479 -2.2711
0.0442 -3.9802 1.7094
-5.6346 -3.3187 -1.6917
-2.6500 -6.1094 1.1300
-7.7298 -1.3596 -3.6727
-0.5548 -8.0685 3.1110
0.0000 0.0000 0.0000
-6.3395 -7.2146 -0.4298
-1.9451 -2.2135 -0.1319

***

| no. | total moment (μB per cell) |
| --- | --- |
| 1 | 0.0 |
| 2 | 2.6 |
| 3 | 0.0 |
| 4 | 0.0 |
| 5 | 0.7 |
| 6 | 0.0 |